No. 1
This record from OQMD describes a relaxed PuRe crystal. The functional is PBE.

Formation energy ... 0.77 eV/atom

a b c (Å): 5.392 5.392 5.392
angles (deg): 90.00 90.00 90.00
Space group Fm-3m (No. 225)
Symmetry-distinct sites (fractional):
Pu 0.000 0.000 0.000 [4 per cell]
Re 0.000 0.000 0.500 [4 per cell]



No. 2
This record from OQMD describes a relaxed GdSClO4 crystal. The functional is PBE.

Total DFT energy (no corrections) ... -6.501 eV per atom

a b c (Å): 9.365 6.536 6.755
angles (deg): 90.00 104.97 90.00
Space group P2_1/c (No. 14)
Symmetry-distinct sites (fractional):
Gd 0.234 0.098 0.173 [4 per cell]
S 0.356 0.560 0.209 [4 per cell]
Cl 0.027 0.139 0.805 [4 per cell]
O 0.276 0.073 0.530 [4 per cell]
O 0.280 0.744 0.696 [4 per cell]
O 0.345 0.060 0.890 [4 per cell]
O 0.491 0.088 0.298 [4 per cell]



No. 3
This record from OQMD describes a relaxed Ho5Lu3 crystal. The functional is PBE.

Formation energy ... 0.00 eV/atom

a b c (Å): 7.1180 7.1180 5.5201
angles (deg): 90.00 90.00 120.00
Space group P-6m2 (No. 187)
Symmetry-distinct sites (fractional):
Ho 0.0000 0.0000 0.0000 [1 per cell]
Ho 0.9996 0.4998 0.0000 [3 per cell]
Ho 0.3333 0.6667 0.5000 [1 per cell]
Lu 0.3345 0.1672 0.5000 [3 per cell]



Q: Which volume values were calculated for the entries above? A: 156.8 399.4 242.2, in Å³/cell.